Record 1
The following is a DFT calculation (GGA-PBE) of a relaxed AcLa6Tm2 crystal.

## Properties
DOS(E_F) in states/eV per atom: 1.62
Total magnetic moment in μB per cell: 0.000
Space group: No. 65
Theoretical density in kg/m3: 7133
ΔE_f in eV per atom: 0.12
DFT total energy in eV per atom: -4.619

Cell: 10.222 10.222 3.758 Å, 90.00 90.00 124.00°
Element x y z (fractional)
Ac: 0.000 0.000 0.000
La: 0.159 0.489 0.000
La: 0.331 0.331 0.500
La: 0.489 0.159 0.000
La: 0.511 0.841 0.000
La: 0.669 0.669 0.500
La: 0.841 0.511 0.000
Tm: 0.185 0.815 0.500
Tm: 0.815 0.185 0.500

---

Record 2
The following is a DFT calculation (GGA-PBE) of a relaxed Ac12La7Tm crystal.

## Properties
DOS(E_F) in states/eV per atom: 1.61
Total magnetic moment in μB per cell: 0.000
Space group: No. 204
Theoretical density in kg/m3: 6944
ΔE_f in eV per atom: 0.60
DFT total energy in eV per atom: -3.814

Cell: 10.629 10.629 10.629 Å, 109.47 109.47 109.47°
Element x y z (fractional)
Ac: 0.072 0.269 0.803
Ac: 0.197 0.467 0.269
Ac: 0.197 0.928 0.731
Ac: 0.269 0.197 0.467
Ac: 0.269 0.803 0.072
Ac: 0.467 0.269 0.197
Ac: 0.533 0.731 0.803
Ac: 0.731 0.197 0.928
Ac: 0.731 0.803 0.533
Ac: 0.803 0.072 0.269
Ac: 0.803 0.533 0.731
Ac: 0.928 0.731 0.197
La: 0.000 0.000 0.500
La: 0.000 0.500 0.000
La: 0.000 0.500 0.500
La: 0.500 0.000 0.000
La: 0.500 0.000 0.500
La: 0.500 0.500 0.000
La: 0.500 0.500 0.500
Tm: 0.000 0.000 0.000

---

Question: What is the formula in the second record?
Answer: Ac12La7Tm